First-principles (PBE) data for DyLuMgCr after structural relaxation, as listed in the Alexandria database.

## Properties
The formation energy comes out at 0.14 eV per atom. The calculation puts the spin magnetization at 0.88 μB per atom.

Unit cell a=5.1369 b=5.1369 c=5.1369 alpha=60.00 beta=60.00 gamma=60.00
Positions (direct):
1 Lu 0.7500 0.7500 0.7500
2 Cr 0.5000 0.5000 0.5000
3 Dy 0.2500 0.2500 0.2500
4 Mg 0.0000 0.0000 0.0000